Record 1
A plane-wave DFT calculation with PBE was carried out for crystalline Zn3C5 at its relaxed geometry.

Results
total magnetic moment: 0.000 μB/cell
crystal system: tetragonal
space-group type: P4/mmm (123)
energy of formation: 1.877 eV/atom

Lattice parameters (Å, degrees): 2.5185 2.5185 11.8325 90.00 90.00 90.00
With the nearest neighbours (Å) after each atom.
Atoms (fractional coordinates):
Zn1 0.0000 0.0000 0.0000  2 C 2.06
Zn2 0.5000 0.5000 0.3808  5 C 2.07-2.27
Zn3 0.5000 0.5000 0.6192  5 C 2.07-2.27
C1 0.0000 0.0000 0.1742  4 C 1.82
C2 0.0000 0.0000 0.5000  8 Zn 2.27, 4 C 2.52
C3 0.0000 0.0000 0.8258  4 C 1.82
C4 0.5000 0.5000 0.2059  4 C 1.82
C5 0.5000 0.5000 0.7941  4 C 1.82


Record 2
A plane-wave DFT calculation with PBE was carried out for crystalline Zn2C at its relaxed geometry.

Results
total magnetic moment: 0.000 μB/cell
crystal system: tetragonal
space-group type: I4/mcm (140)
energy of formation: 1.055 eV/atom

Lattice parameters (Å, degrees): 4.5887 4.5887 4.5887 112.97 112.97 102.69
With the nearest neighbours (Å) after each atom.
Atoms (fractional coordinates):
Zn1 0.2186 0.7186 0.9371  4 C 2.31, 4 Zn 2.55
Zn2 0.2814 0.2186 0.5000  4 C 2.31, 4 Zn 2.55
Zn3 0.7186 0.7814 0.5000  4 C 2.31, 4 Zn 2.55
Zn4 0.7814 0.2814 0.0629  4 C 2.31, 4 Zn 2.55
C1 0.2500 0.2500 0.0000  8 Zn 2.31
C2 0.7500 0.7500 0.0000  8 Zn 2.31


Record 3
A plane-wave DFT calculation with PBE was carried out for crystalline ZnC at its relaxed geometry.

Results
total magnetic moment: 0.000 μB/cell
crystal system: orthorhombic
space-group type: Cmme (67)
energy of formation: 0.600 eV/atom

Lattice parameters (Å, degrees): 3.6945 3.6945 6.8291 90.00 90.00 139.71
With the nearest neighbours (Å) after each atom.
Atoms (fractional coordinates):
Zn1 0.2500 0.7500 0.8402  1 C 2.04
Zn2 0.7500 0.2500 0.1598  1 C 2.04
C1 0.2500 0.7500 0.5420  2 C 1.40
C2 0.7500 0.2500 0.4580  2 C 1.40


Record 4
A plane-wave DFT calculation with PBE was carried out for crystalline ZnC2 at its relaxed geometry.

Results
total magnetic moment: 0.000 μB/cell
crystal system: hexagonal
space-group type: P6_3/mmc (194)
energy of formation: 1.201 eV/atom

Lattice parameters (Å, degrees): 3.3121 3.3121 7.3156 90.00 90.00 120.00
With the nearest neighbours (Å) after each atom.
Atoms (fractional coordinates):
Zn1 0.0000 0.0000 0.0000  6 C 2.26
Zn2 0.0000 0.0000 0.5000  6 C 2.26
C1 0.3333 0.6667 0.1638  1 C 1.26
C2 0.3333 0.6667 0.3362  1 C 1.26
C3 0.6667 0.3333 0.6638  1 C 1.26
C4 0.6667 0.3333 0.8362  1 C 1.26


Record 5
A plane-wave DFT calculation with PBE was carried out for crystalline Zn8C at its relaxed geometry.

Results
total magnetic moment: 0.000 μB/cell
crystal system: tetragonal
space-group type: I4/mmm (139)
energy of formation: 0.493 eV/atom

Lattice parameters (Å, degrees): 6.0654 6.0654 6.0654 95.87 95.87 142.70
With the nearest neighbours (Å) after each atom.
Atoms (fractional coordinates):
Zn1 0.0000 0.3242 0.3242  1 C 2.63, 11 Zn 2.69-2.86
Zn2 0.0000 0.6758 0.6758  1 C 2.63, 11 Zn 2.69-2.86
Zn3 0.3242 0.0000 0.3242  1 C 2.63, 11 Zn 2.69-2.86
Zn4 0.3379 0.3379 0.6758  10 Zn 2.64-2.80, 2 C 2.69
Zn5 0.3379 0.6621 0.0000  10 Zn 2.64-2.80, 2 C 2.69
Zn6 0.6621 0.3379 0.0000  10 Zn 2.64-2.80, 2 C 2.69
Zn7 0.6621 0.6621 0.3242  10 Zn 2.64-2.80, 2 C 2.69
Zn8 0.6758 0.0000 0.6758  1 C 2.63, 11 Zn 2.69-2.86
C1 0.0000 0.0000 0.0000  12 Zn 2.63-2.69


Record 6
A plane-wave DFT calculation with PBE was carried out for crystalline ZnC2 at its relaxed geometry.

Results
total magnetic moment: 0.000 μB/cell
crystal system: trigonal
space-group type: P-3m1 (164)
energy of formation: 1.128 eV/atom

Lattice parameters (Å, degrees): 3.3789 3.3789 11.8724 90.00 90.00 120.00
With the nearest neighbours (Å) after each atom.
Atoms (fractional coordinates):
Zn1 0.0000 0.0000 0.0000  6 C 2.25
Zn2 0.3333 0.6667 0.3615  1 C 1.92
Zn3 0.6667 0.3333 0.6385  1 C 1.92
C1 0.0000 0.0000 0.4462  1 C 1.28
C2 0.0000 0.0000 0.5538  1 C 1.28
C3 0.3333 0.6667 0.0942  1 C 1.25
C4 0.3333 0.6667 0.1998  1 C 1.25
C5 0.6667 0.3333 0.8002  1 C 1.25
C6 0.6667 0.3333 0.9058  1 C 1.25